Entry from the Alexandria database: a geometry-optimized LaMgF3 structure (PBE).

Summary:
- ΔE to the lowest computed polymorph: 292 meV per atom
- Calculated volume: 75 Å³ per cell
- Total DFT energy (no corrections): -25.36 eV for the cell shown
- N(E_F): 0.847 states/eV per atom
- ΔE_f (raw): -1276 kJ/mol of formula units

a = 4.216 Å, b = 4.216 Å, c = 4.216 Å
α = 90.00°, β = 90.00°, γ = 90.00°
Space group Pm-3m (No. 221)
Unique sites:
La: 0.000 0.000 0.000 [1 per cell]
Mg: 0.500 0.500 0.500 [1 per cell]
F: 0.000 0.500 0.500 [3 per cell]